Ta2AsPb2: PBEsol geometry, SCAN.

Computed properties:
Calculated formation energy   3.87 eV per formula unit
Space-group type   I4/mmm (139)

Cell lengths 3.6930, 3.6930, 9.0250 Å; angles 101.81, 101.81, 90.00 degrees
Closest atoms and distances in Å follow each position.
Fractional coordinates of all 5 atoms:
Pb: 0.3997 0.3997 0.7993  4 As 3.13, 4 Ta 3.18, 1 Pb 3.47
Pb: 0.6003 0.6003 0.2007  4 As 3.13, 4 Ta 3.18, 1 Pb 3.47
As: 0.0000 0.0000 0.0000  8 Pb 3.13
Ta: 0.2500 0.7500 0.5000  4 Ta 2.61
Ta: 0.7500 0.2500 0.5000  4 Ta 2.61

ScNi2Ir: PBEsol geometry, SCAN.

Computed properties:
Calculated formation energy   -1.71 eV per formula unit
Space-group type   I4/mmm (139)

Cell lengths 3.8085, 3.8085, 4.5292 Å; angles 114.86, 114.86, 90.00 degrees
Closest atoms and distances in Å follow each position.
Fractional coordinates of all 4 atoms:
Ir: 0.5000 0.5000 0.0000  8 Ni 2.63, 4 Sc 2.69
Ni: 0.7500 0.2500 0.5000  4 Ir 2.63, 4 Sc 2.63, 4 Ni 2.69
Ni: 0.2500 0.7500 0.5000  4 Ir 2.63, 4 Sc 2.63, 4 Ni 2.69
Sc: 0.0000 0.0000 0.0000  8 Ni 2.63, 4 Ir 2.69

LuAlNi: PBEsol geometry, SCAN.

Computed properties:
Calculated formation energy   -2.09 eV per formula unit
Space-group type   P-62m (189)

Cell lengths 3.7243, 6.8097, 6.8097 Å; angles 120.00, 90.00, 90.00 degrees
Closest atoms and distances in Å follow each position.
Fractional coordinates of all 9 atoms:
Ni: 0.5000 0.6667 0.3333  3 Al 2.64, 6 Lu 2.77
Ni: 0.0000 0.0000 0.0000  6 Al 2.48
Ni: 0.5000 0.3333 0.6667  3 Al 2.64, 6 Lu 2.77
Lu: 0.0000 0.0000 0.5844  5 Ni 2.77-2.83, 6 Al 2.99-3.09
Lu: 0.0000 0.5844 0.0000  5 Ni 2.77-2.83, 6 Al 2.99-3.09
Lu: 0.0000 0.4156 0.4156  5 Ni 2.77-2.83, 6 Al 2.99-3.09
Al: 0.5000 0.2408 0.0000  4 Ni 2.48-2.64
Al: 0.5000 0.7592 0.7592  4 Ni 2.48-2.64
Al: 0.5000 0.0000 0.2408  4 Ni 2.48-2.64

Er5SbPt2: PBEsol geometry, SCAN.

Computed properties:
Space-group type   I4/mcm (140)

Cell lengths 7.5816, 8.5410, 7.5816 Å; angles 63.65, 90.00, 116.35 degrees
Closest atoms and distances in Å follow each position.
Fractional coordinates of all 16 atoms:
Er: 0.0000 0.0000 0.0000  4 Pt 2.94
Er: 0.5000 0.0000 0.5000  4 Pt 2.94
Er: 0.7969 0.2787 0.0182  3 Pt 2.87-2.91, 2 Sb 3.21
Er: 0.2031 0.7213 0.9818  3 Pt 2.87-2.91, 2 Sb 3.21
Er: 0.4818 0.2787 0.7031  3 Pt 2.87-2.91, 2 Sb 3.21
Er: 0.2969 0.2787 0.2031  3 Pt 2.87-2.91, 2 Sb 3.21
Er: 0.0182 0.7213 0.4818  3 Pt 2.87-2.91, 2 Sb 3.21
Er: 0.5182 0.7213 0.2969  3 Pt 2.87-2.91, 2 Sb 3.21
Er: 0.7031 0.7213 0.7969  3 Pt 2.87-2.91, 2 Sb 3.21
Er: 0.9818 0.2787 0.5182  3 Pt 2.87-2.91, 2 Sb 3.21
Sb: 0.2500 0.5000 0.7500  10 Er 3.21-3.32
Sb: 0.7500 0.5000 0.2500  10 Er 3.21-3.32
Pt: 0.1375 0.0000 0.6375  8 Er 2.87-2.94, 1 Pt 2.95
Pt: 0.8625 0.0000 0.3625  8 Er 2.87-2.94, 1 Pt 2.95
Pt: 0.6375 0.0000 0.8625  8 Er 2.87-2.94, 1 Pt 2.95
Pt: 0.3625 0.0000 0.1375  8 Er 2.87-2.94, 1 Pt 2.95

no.,electronic total energy (eV/atom)
1,-60.211
2,-29.848
3,-27.119
4,-54.864